(1)
Material: BeRe2Tc
Method: DFT, PBEsol
State: optimized geometry

Lattice parameters (Å, degrees): 4.2206 4.2206 4.2206 60.00 60.00 60.00
With the nearest neighbours (Å) after each atom.
Fractional coordinates of all 4 atoms:
Re: 0.0000 0.0000 0.0000  4 Tc 2.58, 4 Re 2.58
Re: 0.7500 0.7500 0.7500  4 Be 2.58, 4 Re 2.58
Tc: 0.2500 0.2500 0.2500  4 Re 2.58, 4 Be 2.58
Be: 0.5000 0.5000 0.5000  4 Re 2.58, 4 Tc 2.58

## Properties
formation energy: 40 kJ/mol of formula units
mass density: 14.97 g cm⁻³



(2)
Material: AlReMo2
Method: DFT, PBEsol
State: optimized geometry

Lattice parameters (Å, degrees): 2.7021 5.0981 5.0981 117.65 99.19 99.19
With the nearest neighbours (Å) after each atom.
Fractional coordinates of all 4 atoms:
Re: 0.5000 0.0000 0.0000  2 Al 2.64, 4 Mo 2.69, 2 Re 2.70
Mo: 0.0000 0.5000 0.0000  4 Mo 2.64-2.70, 2 Al 2.69, 2 Re 2.69
Mo: 0.0000 0.0000 0.5000  4 Mo 2.64-2.70, 2 Re 2.69, 2 Al 2.69
Al: 0.5000 0.5000 0.5000  2 Re 2.64, 4 Mo 2.69, 2 Al 2.70

## Properties
formation energy: -6 kJ/mol of formula units
mass density: 11.37 g cm⁻³



(3)
Material: YFe2Ir
Method: DFT, PBEsol
State: optimized geometry

Lattice parameters (Å, degrees): 3.3167 4.3063 5.1895 114.51 108.64 90.00
With the nearest neighbours (Å) after each atom.
Fractional coordinates of all 4 atoms:
Fe: 0.7658 0.7658 0.5316  2 Ir 2.65, 4 Fe 2.73, 2 Y 2.88
Fe: 0.2342 0.2342 0.4684  2 Ir 2.65, 4 Fe 2.73, 2 Y 2.88
Ir: 0.5000 0.0000 0.0000  4 Fe 2.65, 4 Y 2.72
Y: 0.0000 0.5000 0.0000  4 Ir 2.72, 8 Fe 2.88-2.99

## Properties
formation energy: 28 kJ/mol of formula units
mass density: 10.33 g cm⁻³



(4)
Material: Ce4Ge3
Method: DFT, PBEsol
State: optimized geometry

Lattice parameters (Å, degrees): 7.6037 7.6037 7.6037 109.47 109.47 109.47
With the nearest neighbours (Å) after each atom.
Fractional coordinates of all 14 atoms:
Ce: 0.6485 0.0000 0.0000  6 Ge 2.95-3.13
Ce: 0.8515 0.8515 0.3515  6 Ge 2.95-3.13
Ce: 0.0000 0.5000 0.1485  6 Ge 2.95-3.13
Ce: 0.1485 0.0000 0.0000  6 Ge 2.95-3.13
Ce: 0.5000 0.6485 0.5000  6 Ge 2.95-3.13
Ce: 0.3515 0.3515 0.8515  6 Ge 2.95-3.13
Ce: 0.5000 0.1485 0.5000  6 Ge 2.95-3.13
Ce: 0.0000 0.5000 0.6485  6 Ge 2.95-3.13
Ge: 0.8750 0.1250 0.7500  8 Ce 2.95-3.13
Ge: 0.6250 0.3750 0.2500  8 Ce 2.95-3.13
Ge: 0.1250 0.2500 0.3750  8 Ce 2.95-3.13
Ge: 0.3750 0.7500 0.1250  8 Ce 2.95-3.13
Ge: 0.7500 0.6250 0.8750  8 Ce 2.95-3.13
Ge: 0.2500 0.8750 0.6250  8 Ce 2.95-3.13

## Properties
formation energy: -436 kJ/mol of formula units
mass density: 7.64 g cm⁻³



(5)
Material: KMnTe
Method: DFT, PBEsol
State: optimized geometry

Lattice parameters (Å, degrees): 4.8277 4.8277 4.8277 60.00 60.00 60.00
With the nearest neighbours (Å) after each atom.
Fractional coordinates of all 3 atoms:
K: 0.5000 0.5000 0.5000  4 Mn 2.96
Mn: 0.2500 0.2500 0.2500  4 K 2.96, 4 Te 2.96
Te: 0.0000 0.0000 0.0000  4 Mn 2.96

## Properties
mass density: 4.63 g cm⁻³



(6)
Material: SmGdSe2
Method: DFT, PBEsol
State: optimized geometry

Lattice parameters (Å, degrees): 4.0792 4.0792 7.1006 73.31 73.31 60.00
With the nearest neighbours (Å) after each atom.
Fractional coordinates of all 4 atoms:
Gd: 0.0000 0.0000 0.0000  6 Se 2.87
Sm: 0.5000 0.5000 0.5000  6 Se 2.91
Se: 0.7484 0.7484 0.7549  3 Gd 2.87, 3 Sm 2.91
Se: 0.2516 0.2516 0.2451  3 Gd 2.87, 3 Sm 2.91

## Properties
mass density: 8.01 g cm⁻³



(7)
Material: ZrMn2Bi2
Method: DFT, PBEsol
State: optimized geometry

Lattice parameters (Å, degrees): 3.7962 3.7962 7.7270 104.22 104.22 90.00
With the nearest neighbours (Å) after each atom.
Fractional coordinates of all 5 atoms:
Mn: 0.2500 0.7500 0.5000  4 Mn 2.68, 4 Bi 2.77
Mn: 0.7500 0.2500 0.5000  4 Mn 2.68, 4 Bi 2.77
Bi: 0.3889 0.3889 0.7778  4 Mn 2.77
Bi: 0.6111 0.6111 0.2222  4 Mn 2.77
Zr: 0.0000 0.0000 0.0000  8 Bi 3.13

## Properties
formation energy: 162 kJ/mol of formula units
mass density: 9.84 g cm⁻³



(8)
Material: HgTe2Pb
Method: DFT, PBEsol
State: optimized geometry

Lattice parameters (Å, degrees): 3.3637 3.3637 9.9709 90.00 90.00 90.00
With the nearest neighbours (Å) after each atom.
Fractional coordinates of all 4 atoms:
Hg: 0.0000 0.0000 0.5101  4 Te 3.25, 4 Pb 3.26, 4 Hg 3.36
Pb: 0.5000 0.5000 0.7330  4 Hg 3.26, 4 Te 3.35, 4 Pb 3.36
Te: 0.0000 0.0000 0.9691  4 Pb 3.35, 4 Te 3.36
Te: 0.5000 0.5000 0.2877  4 Hg 3.25, 4 Te 3.36

## Properties
mass density: 9.76 g cm⁻³



(9)
Material: Y2CrCl
Method: DFT, PBEsol
State: optimized geometry

Lattice parameters (Å, degrees): 3.2312 5.2199 5.2199 89.57 96.44 96.44
With the nearest neighbours (Å) after each atom.
Fractional coordinates of all 4 atoms:
Y: 0.0000 0.0000 0.5000  4 Cr 2.91-3.22, 4 Cl 2.91-3.22, 2 Y 3.23
Y: 0.0000 0.5000 0.0000  4 Cl 2.91-3.22, 4 Cr 2.91-3.22, 2 Y 3.23
Cr: 0.5000 0.0000 0.0000  8 Y 2.91-3.22, 2 Cr 3.23
Cl: 0.5000 0.5000 0.5000  8 Y 2.91-3.22, 2 Cl 3.23

## Properties
mass density: 5.07 g cm⁻³



(10)
Material: SrAlN3
Method: DFT, PBEsol
State: optimized geometry

Lattice parameters (Å, degrees): 4.7516 4.7516 4.7516 90.00 90.00 90.00
With the nearest neighbours (Å) after each atom.
Fractional coordinates of all 5 atoms:
Sr: 0.0000 0.0000 0.0000  6 N 2.38
Al: 0.5000 0.5000 0.5000  12 N 3.36
N: 0.0000 0.5000 0.0000  2 Sr 2.38
N: 0.0000 0.0000 0.5000  2 Sr 2.38
N: 0.5000 0.0000 0.0000  2 Sr 2.38

## Properties
mass density: 2.42 g cm⁻³



(11)
Material: TmSe
Method: DFT, PBEsol
State: optimized geometry

Lattice parameters (Å, degrees): 3.9568 3.9568 3.9568 60.00 60.00 60.00
With the nearest neighbours (Å) after each atom.
Fractional coordinates of all 2 atoms:
Tm: 0.5000 0.5000 0.5000  6 Se 2.80
Se: 0.0000 0.0000 0.0000  6 Tm 2.80

## Properties
mass density: 9.40 g cm⁻³



(12)
Material: La2ZnNi
Method: DFT, PBEsol
State: optimized geometry

Lattice parameters (Å, degrees): 3.5831 3.5828 7.1823 89.86 90.00 90.00
With the nearest neighbours (Å) after each atom.
Fractional coordinates of all 4 atoms:
Ni: 0.5000 0.5000 0.5000  8 La 3.02
Zn: 0.5000 0.5000 0.0000  8 La 3.19-3.20
La: 0.0000 0.0010 0.7289  4 Ni 3.02, 4 Zn 3.19-3.20, 1 La 3.29
La: 0.0000 0.9990 0.2711  4 Ni 3.02, 4 Zn 3.19-3.20, 1 La 3.29

## Properties
formation energy: -87 kJ/mol of formula units
mass density: 7.24 g cm⁻³



Uncorrected energy / eV per cell: -41.5, -41.0, -34.3, -91.4, -13.7, -34.9, -35.5, -11.2, -26.6, -20.7, -12.2, -19.3
V / A^3/atom: 13.3, 14.8, 15.8, 24.2, 26.5, 24.1, 20.9, 28.2, 21.7, 21.5, 21.9, 23.1
M_tot / μB/f.u.: 0.00, 0.00, 5.88, 2.31, 4.02, 6.83, 6.49, 0.00, 2.86, 6.00, 0.00, 0.00